La2Sm3Sn (GGA-PBE, optimized geometry); space group = Cmmm; formation energy = -0.255 eV per atom
1.0
-3.8439 1.2605 2.7244
-1.6436 -4.7203 -0.1350
4.9208 0.7462 6.5977
Sm Sn La
3 1 2
direct
0.5000 0.1563 0.3126 Sm
0.5000 0.8437 0.6874 Sm
0.5000 0.5000 0.0000 Sm
0.0000 0.0000 0.0000 Sn
0.0000 0.6621 0.3243 La
0.0000 0.3379 0.6757 La

***

La6SmSn (GGA-PBE, optimized geometry); space group = P4/mmm; formation energy = -0.215 eV per atom
1.0
5.0950 0.0000 0.0000
0.0000 5.0950 0.0000
0.0000 0.0000 10.4671
La Sm Sn
6 1 1
direct
0.0000 0.5000 0.7594 La
0.0000 0.5000 0.2406 La
0.5000 0.0000 0.7594 La
0.5000 0.5000 0.5000 La
0.5000 0.5000 0.0000 La
0.5000 0.0000 0.2406 La
0.0000 0.0000 0.5000 Sm
0.0000 0.0000 0.0000 Sn

***

LaSm8Sn2 (GGA-PBE, optimized geometry); space group = C2/m; formation energy = -0.186 eV per atom
1.0
6.4677 -0.2168 -0.1645
-0.4343 8.6224 2.2513
-0.4343 4.4898 7.6977
Sm Sn La
8 2 1
direct
0.4136 0.8431 0.3586 Sm
0.1727 0.7827 0.7827 Sm
0.1013 0.4154 0.4154 Sm
0.4136 0.3586 0.8431 Sm
0.5864 0.6414 0.1569 Sm
0.5864 0.1569 0.6414 Sm
0.8987 0.5846 0.5846 Sm
0.8273 0.2173 0.2173 Sm
0.3232 0.2537 0.2537 Sn
0.6768 0.7463 0.7463 Sn
0.0000 0.0000 0.0000 La

***

La4SmSn2 (GGA-PBE, optimized geometry); space group = Cmmm; polymorph energy (0 for the lowest one) = 0.00 eV/f.u.; formation energy = -0.460 eV per atom
1.0
4.9715 0.0000 0.0000
0.0000 6.8472 -1.2877
0.0000 0.2079 6.9642
La Sm Sn
4 1 2
direct
0.5000 0.0000 0.5000 La
0.0000 0.2093 0.2093 La
0.5000 0.5000 0.0000 La
0.0000 0.7907 0.7907 La
0.5000 0.5000 0.5000 Sm
0.0000 0.2841 0.7159 Sn
0.0000 0.7159 0.2841 Sn

***

Respective VASP energy values: -29.5, -40.0, -52.7, -35.7 eV per formula unit.